1.
This record from Alexandria via LeMat-Bulk describes a relaxed structure of LiThScCr. The functional is PBE.

Calculated values
- DFT formation energy (meV per atom) = 217
- density of states at the Fermi level (states/eV per atom) = 0.92

Cell lengths 7.0091, 7.0091, 7.0091 Å; angles 90.00, 90.00, 90.00 degrees
Space group F-43m (No. 216)
Asymmetric unit:
Li 0.0000 0.0000 0.0000 (multiplicity 4)
Th 0.2500 0.2500 0.2500 (multiplicity 4)
Sc 0.2500 0.2500 0.7500 (multiplicity 4)
Cr 0.0000 0.0000 0.5000 (multiplicity 4)

=====

2.
This record from Alexandria via LeMat-Bulk describes a relaxed structure of TiNbTc. The functional is PBE.

Calculated values
- DFT formation energy (meV per atom) = -284
- density of states at the Fermi level (states/eV per atom) = 1.25
- energy above the lowest structure with this stoichiometry (meV per atom) = 60

Cell lengths 9.6849, 4.4245, 5.5406 Å; angles 90.00, 124.64, 90.00 degrees
Space group C2/m (No. 12)
Asymmetric unit:
Ti 0.0149 0.0000 0.2640 (multiplicity 4)
Nb 0.1718 0.5000 0.7493 (multiplicity 4)
Tc 0.1664 0.5000 0.2441 (multiplicity 4)